Run A
Crystalline PmHoSi at its relaxed geometry. Source: the Alexandria database, functional PBE.

a b c (Å): 11.4766 4.2369 8.1803
angles (deg): 90.00 126.72 90.00
Closest atoms and distances in Å follow each position.
Space group C2/m (No. 12)
One atom of each set of equivalent atoms:
Pm 0.0857 0.0000 0.3597 [4 per cell]  4 Si 3.09-3.11
Ho 0.1774 0.5000 0.0767 [4 per cell]  3 Si 2.91-3.06
Si 0.1216 0.5000 0.6612 [4 per cell]  1 Si 2.44

Properties
- Crystal system: monoclinic
- Magnetization: 0.0 μB per formula unit
- DOS(E_F): 1.118 states/eV per atom

=====

Run B
Crystalline PmHoSi at its relaxed geometry. Source: the Alexandria database, functional PBE.

a b c (Å): 4.6756 4.6756 4.2241
angles (deg): 90.00 90.00 120.00
Closest atoms and distances in Å follow each position.
Space group P3m1 (No. 156)
One atom of each set of equivalent atoms:
Pm 0.0000 0.0000 0.0000 [1 per cell]  3 Si 3.09, 3 Ho 3.35
Ho 0.6667 0.3333 0.5298 [1 per cell]  3 Si 2.80
Si 0.3333 0.6667 0.3555 [1 per cell]  3 Ho 2.80, 3 Pm 3.09

Properties
- Crystal system: trigonal
- Magnetization: 0.0 μB per formula unit
- DOS(E_F): 0.552 states/eV per atom

=====

Run C
Crystalline PmHoSi at its relaxed geometry. Source: the Alexandria database, functional PBE.

a b c (Å): 6.9363 6.9363 6.9363
angles (deg): 90.00 90.00 90.00
Closest atoms and distances in Å follow each position.
Space group F-43m (No. 216)
One atom of each set of equivalent atoms:
Pm 0.0000 0.0000 0.0000 [4 per cell]  4 Si 3.00
Ho 0.0000 0.0000 0.5000 [4 per cell]  4 Si 3.00
Si 0.2500 0.2500 0.2500 [4 per cell]  4 Ho 3.00, 4 Pm 3.00

Properties
- Crystal system: cubic
- Magnetization: 0.0 μB per formula unit
- DOS(E_F): 0.777 states/eV per atom

=====

The data favor run A; the next most stable structure lies 60 meV/atom above it.

=====

Run A
Crystalline PmHoSi2 at its relaxed geometry. Source: the Alexandria database, functional PBE.

a b c (Å): 4.6258 4.6258 15.5409
angles (deg): 90.00 90.00 120.00
Closest atoms and distances in Å follow each position.
Space group R-3m (No. 166, hexagonal axes)
One atom of each set of equivalent atoms:
Pm 0.0000 0.0000 0.0000 [3 per cell]  6 Si 3.02
Ho 0.0000 0.0000 0.5000 [3 per cell]  6 Si 2.92
Si 0.0000 0.0000 0.2427 [6 per cell]  3 Ho 2.92, 3 Pm 3.02

Properties
- Crystal system: trigonal
- Magnetization: 0.0 μB per formula unit
- DOS(E_F): 0.560 states/eV per atom

=====

Run B
Crystalline PmHoSi2 at its relaxed geometry. Source: the Alexandria database, functional PBE.

a b c (Å): 3.8710 4.3467 10.6832
angles (deg): 90.00 90.00 90.00
Closest atoms and distances in Å follow each position.
Space group Amm2 (No. 38)
One atom of each set of equivalent atoms:
Pm 0.0000 0.0000 0.0000 [2 per cell]  7 Si 3.00-3.18
Ho 0.5000 0.0000 0.7199 [2 per cell]  7 Si 2.99-3.14
Si 0.0000 0.0000 0.2831 [2 per cell]  2 Si 2.51
Si 0.5000 0.0000 0.4325 [2 per cell]  2 Si 2.51

Properties
- Crystal system: orthorhombic
- Magnetization: 0.0 μB per formula unit
- DOS(E_F): 0.734 states/eV per atom

=====

The data favor run B; the next most stable structure lies 301 meV/atom above it.

=====

Run A
Crystalline Pm2HoSi at its relaxed geometry. Source: the Alexandria database, functional PBE.

a b c (Å): 4.6867 4.6867 4.7421
angles (deg): 90.00 90.00 90.00
Closest atoms and distances in Å follow each position.
Space group P4/mmm (No. 123)
One atom of each set of equivalent atoms:
Pm 0.0000 0.5000 0.0000 [2 per cell]  4 Pm 3.31, 4 Si 3.33, 4 Ho 3.33
Ho 0.0000 0.0000 0.5000 [1 per cell]  4 Si 3.31, 8 Pm 3.33
Si 0.5000 0.5000 0.5000 [1 per cell]  4 Ho 3.31, 8 Pm 3.33

Properties
- Crystal system: tetragonal
- Magnetization: 0.0 μB per formula unit
- DOS(E_F): 0.976 states/eV per atom

=====

Run B
Crystalline Pm2HoSi at its relaxed geometry. Source: the Alexandria database, functional PBE.

a b c (Å): 3.6777 3.6777 32.6063
angles (deg): 90.00 90.00 120.00
Closest atoms and distances in Å follow each position.
Space group R-3m (No. 166, hexagonal axes)
One atom of each set of equivalent atoms:
Pm 0.0000 0.0000 0.1066 [6 per cell]  3 Si 2.89
Ho 0.0000 0.0000 0.0000 [3 per cell]  2 Pm 3.48, 6 Ho 3.68
Si 0.0000 0.0000 0.5000 [3 per cell]  6 Pm 2.89

Properties
- Crystal system: trigonal
- Magnetization: 0.8 μB per formula unit
- DOS(E_F): 1.467 states/eV per atom

=====

Run C
Crystalline Pm2HoSi at its relaxed geometry. Source: the Alexandria database, functional PBE.

a b c (Å): 4.0422 4.0422 6.6602
angles (deg): 90.00 90.00 90.00
Closest atoms and distances in Å follow each position.
Space group P4/mmm (No. 123)
One atom of each set of equivalent atoms:
Pm 0.0000 0.0000 0.2183 [2 per cell]  1 Pm 2.91, 4 Si 3.21
Ho 0.5000 0.5000 0.5000 [1 per cell]  2 Si 3.33, 8 Pm 3.42
Si 0.5000 0.5000 0.0000 [1 per cell]  8 Pm 3.21, 2 Ho 3.33

Properties
- Crystal system: tetragonal
- Magnetization: 0.0 μB per formula unit
- DOS(E_F): 1.011 states/eV per atom

=====

The data favor run A; the next most stable structure lies 22 meV/atom above it.

=====

Run A
Crystalline Pm3Sm8Ho2 at its relaxed geometry. Source: the Alexandria database, functional PBE.

a b c (Å): 20.3132 7.7296 5.7541
angles (deg): 90.00 90.05 90.00
Closest atoms and distances in Å follow each position.
Space group C2/m (No. 12)
One atom of each set of equivalent atoms:
Pm 0.0000 0.0000 0.0000 [2 per cell]  4 Sm 3.14
Pm 0.0000 0.2891 0.5000 [4 per cell]  3 Pm 3.26-3.64, 6 Sm 3.54-3.62
Sm 0.1079 0.2916 0.0003 [8 per cell]  1 Pm 3.14, 1 Sm 3.22, 1 Ho 3.46
Sm 0.1349 0.0000 0.4992 [4 per cell]  2 Pm 3.54, 2 Ho 3.59-3.61, 7 Sm 3.69-3.94
Sm 0.1731 0.5000 0.5016 [4 per cell]  2 Ho 3.36, 4 Sm 3.55-3.56
Ho 0.2414 0.0000 0.9980 [4 per cell]  8 Sm 3.36-3.61

Properties
- Crystal system: monoclinic
- Magnetization: 0.0 μB per formula unit
- DOS(E_F): 1.557 states/eV per atom

=====

Run B
Crystalline Pm3Sm8Ho2 at its relaxed geometry. Source: the Alexandria database, functional PBE.

a b c (Å): 13.1718 11.7836 6.2100
angles (deg): 90.00 113.77 90.00
Closest atoms and distances in Å follow each position.
Space group C2/m (No. 12)
One atom of each set of equivalent atoms:
Pm 0.0000 0.0000 0.0000 [2 per cell]  2 Sm 3.20, 2 Ho 3.52
Pm 0.0000 0.2429 0.5000 [4 per cell]  8 Sm 3.46-3.87
Sm 0.0541 0.5000 0.2829 [4 per cell]  5 Sm 3.22-3.54, 2 Ho 3.26-3.31, 2 Pm 3.50
Sm 0.1556 0.0000 0.5507 [4 per cell]  3 Pm 3.20-3.46, 2 Ho 3.39-3.58, 1 Sm 3.54
Sm 0.1725 0.2570 0.1723 [8 per cell]  2 Ho 3.42-3.64, 4 Sm 3.46-3.75, 2 Pm 3.61-3.68
Ho 0.2125 0.5000 0.8537 [4 per cell]  8 Sm 3.26-3.64, 1 Pm 3.52

Properties
- Crystal system: monoclinic
- Magnetization: 0.0 μB per formula unit
- DOS(E_F): 1.712 states/eV per atom

=====

The data favor run B; the next most stable structure lies 61 meV/atom above it.

=====

Run A
Crystalline Pm2SmHo5 at its relaxed geometry. Source: the Alexandria database, functional PBE.

a b c (Å): 16.2798 9.8892 6.5012
angles (deg): 90.00 98.15 90.00
Closest atoms and distances in Å follow each position.
Space group C2/c (No. 15)
One atom of each set of equivalent atoms:
Pm 0.0777 0.2463 0.1151 [8 per cell]  1 Sm 3.00, 2 Ho 3.19-3.34, 1 Pm 3.28
Sm 0.2500 0.2500 0.0000 [4 per cell]  2 Pm 3.00
Ho 0.0000 0.4426 0.7500 [4 per cell]  4 Pm 3.19-3.48, 2 Ho 3.44
Ho 0.0992 0.0895 0.6436 [8 per cell]  4 Pm 3.34-3.74, 1 Sm 3.51, 5 Ho 3.63-3.70
Ho 0.1968 0.4109 0.5226 [8 per cell]  1 Pm 3.46, 2 Sm 3.47-3.49, 7 Ho 3.63-3.73

Properties
- Crystal system: monoclinic
- Magnetization: 0.0 μB per formula unit
- DOS(E_F): 1.507 states/eV per atom

=====

Run B
Crystalline Pm2SmHo5 at its relaxed geometry. Source: the Alexandria database, functional PBE.

a b c (Å): 7.1385 14.2802 5.0404
angles (deg): 90.00 90.00 90.00
Closest atoms and distances in Å follow each position.
Space group Pbam (No. 55)
One atom of each set of equivalent atoms:
Pm 0.2485 0.1255 0.0000 [4 per cell]  10 Ho 3.56-3.58, 2 Sm 3.58
Sm 0.0000 0.5000 0.5000 [2 per cell]  8 Ho 3.57-3.58, 4 Pm 3.58
Ho 0.0000 0.0000 0.5000 [2 per cell]  6 Ho 3.56-3.57, 4 Pm 3.56, 2 Sm 3.57
Ho 0.0014 0.7506 0.5000 [4 per cell]  7 Ho 3.56-3.57, 4 Pm 3.56-3.57, 1 Sm 3.58
Ho 0.2490 0.3746 0.0000 [4 per cell]  4 Pm 3.56-3.58, 6 Ho 3.56-3.57, 2 Sm 3.57

Properties
- Crystal system: orthorhombic
- Magnetization: 0.0 μB per formula unit
- DOS(E_F): 1.314 states/eV per atom

=====

The data favor run B; the next most stable structure lies 152 meV/atom above it.

=====

Run A
Crystalline PmSm12Ho7 at its relaxed geometry. Source: the Alexandria database, functional PBE.

a b c (Å): 11.4682 11.4682 11.4682
angles (deg): 90.00 90.00 90.00
Closest atoms and distances in Å follow each position.
Space group Im-3 (No. 204)
One atom of each set of equivalent atoms:
Pm 0.0000 0.0000 0.0000 [2 per cell]  12 Sm 4.10
Sm 0.0000 0.2536 0.2526 [24 per cell]  2 Ho 2.87
Ho 0.0000 0.0000 0.5000 [6 per cell]  12 Sm 4.00-4.06
Ho 0.2500 0.2500 0.2500 [8 per cell]  6 Sm 2.87

Properties
- Crystal system: cubic
- Magnetization: 0.0 μB per formula unit
- DOS(E_F): 1.275 states/eV per atom

=====

Run B
Crystalline PmSm12Ho7 at its relaxed geometry. Source: the Alexandria database, functional PBE.

a b c (Å): 13.3250 13.3250 12.8896
angles (deg): 90.00 90.00 120.00
Closest atoms and distances in Å follow each position.
Space group R-3m (No. 166, hexagonal axes)
One atom of each set of equivalent atoms:
Pm 0.0000 0.0000 0.0000 [3 per cell]  6 Ho 3.42
Sm 0.0000 0.2621 0.5000 [18 per cell]  6 Sm 3.41-3.58, 5 Ho 3.49-3.55
Sm 0.0891 0.1783 0.2692 [18 per cell]  6 Sm 3.41-3.58, 3 Ho 3.62-3.76
Ho 0.0000 0.0000 0.5000 [3 per cell]  12 Sm 3.49-3.62
Ho 0.0421 0.5210 0.6177 [18 per cell]  1 Ho 3.19, 1 Pm 3.42, 4 Sm 3.53-3.55

Properties
- Crystal system: trigonal
- Magnetization: 0.0 μB per formula unit
- DOS(E_F): 1.905 states/eV per atom

=====

The data favor run B; the next most stable structure lies 578 meV/atom above it.